# LaRhW2 (SCAN, single point on PBEsol structure)
# ρ, Mg/m³: 14.0
# Energy relative to the elements, eV/atom: 0.451
# ΔE to the lowest computed polymorph, meV per atom: 235.2
# M_tot, Bohr magnetons per cell: 0.0
# Space group: C2/m (12)
data_LaRhW2
_symmetry_space_group_name_H-M 'P 1'
_symmetry_Int_Tables_number 1
_symmetry_space_group_name_Hall 'P 1'
_cell_length_a 2.8384
_cell_length_b 4.9950
_cell_length_c 5.4239
_cell_angle_alpha 102.68
_cell_angle_beta 105.17
_cell_angle_gamma 90.00
loop_
_atom_site_label
_atom_site_fract_x
_atom_site_fract_y
_atom_site_fract_z
_atom_site_occupancy
W1 0.7790 0.7811 0.5579 1
W2 0.2210 0.2189 0.4421 1
La1 0.0000 0.5000 0.0000 1
Rh1 0.5000 0.0000 0.0000 1

# LaRhW2 (SCAN, single point on PBEsol structure)
# ρ, Mg/m³: 14.6
# Energy relative to the elements, eV/atom: 0.986
# ΔE to the lowest computed polymorph, meV per atom: 770.0
# M_tot, Bohr magnetons per cell: 0.0
# Space group: P4/mmm (123)
data_LaRhW2
_symmetry_space_group_name_H-M 'P 1'
_symmetry_Int_Tables_number 1
_symmetry_space_group_name_Hall 'P 1'
_cell_length_a 3.0734
_cell_length_b 4.7552
_cell_length_c 4.7552
_cell_angle_alpha 90.00
_cell_angle_beta 90.00
_cell_angle_gamma 90.00
loop_
_atom_site_label
_atom_site_fract_x
_atom_site_fract_y
_atom_site_fract_z
_atom_site_occupancy
Rh1 0.5000 0.0000 0.0000 1
La1 0.5000 0.5000 0.5000 1
W1 0.0000 0.5000 0.0000 1
W2 0.0000 0.0000 0.5000 1